A relaxed structure of HoTmAlTe3. Source: OQMD, functional PBE.

```
data_HoTmAlTe3
_chemical_formula_sum 'Ho4 Tm4 Al4 Te12'
_cell_length_a 4.047
_cell_length_b 15.253
_cell_length_c 10.425
_cell_angle_alpha 90.00
_cell_angle_beta 90.00
_cell_angle_gamma 90.00
_symmetry_space_group_name_H-M 'C m c m'
_symmetry_Int_Tables_number 63
_symmetry_space_group_name_Hall '-C 2c 2'
loop_
_atom_site_label
_atom_site_type_symbol
_atom_site_fract_x
_atom_site_fract_y
_atom_site_fract_z
Ho1 Ho 0.000 0.000 0.000
Tm1 Tm 0.000 0.217 0.250
Al1 Al 0.000 0.478 0.750
Te1 Te 0.000 0.124 0.750
Te2 Te 0.000 0.347 0.548
```

Results
M_tot ... 0.0 μB per cell
E above lowest polymorph ... 0 meV/atom

A relaxed structure of CsNdSi. Source: OQMD, functional PBE.

```
data_CsNdSi
_chemical_formula_sum 'Cs4 Nd4 Si4'
_cell_length_a 7.681
_cell_length_b 7.681
_cell_length_c 7.681
_cell_angle_alpha 90.00
_cell_angle_beta 90.00
_cell_angle_gamma 90.00
_symmetry_space_group_name_H-M 'F -4 3 m'
_symmetry_Int_Tables_number 216
_symmetry_space_group_name_Hall 'F -4 2 3'
loop_
_atom_site_label
_atom_site_type_symbol
_atom_site_fract_x
_atom_site_fract_y
_atom_site_fract_z
Cs1 Cs 0.000 0.000 0.000
Nd1 Nd 0.000 0.000 0.500
Si1 Si 0.250 0.250 0.250
```

Results
M_tot ... 0.0 μB per cell
E above lowest polymorph ... 0 meV/atom

A relaxed structure of CuSn. Source: OQMD, functional PBE.

```
data_CuSn
_chemical_formula_sum 'Cu4 Sn4'
_cell_length_a 5.421
_cell_length_b 5.421
_cell_length_c 5.421
_cell_angle_alpha 90.00
_cell_angle_beta 90.00
_cell_angle_gamma 90.00
_symmetry_space_group_name_H-M 'F m -3 m'
_symmetry_Int_Tables_number 225
_symmetry_space_group_name_Hall '-F 4 2 3'
loop_
_atom_site_label
_atom_site_type_symbol
_atom_site_fract_x
_atom_site_fract_y
_atom_site_fract_z
Cu1 Cu 0.000 0.000 0.000
Sn1 Sn 0.000 0.000 0.500
```

Results
E_tot ... -3.668 eV per atom

Number 1: density 7.7 g/cm3. Number 2: density 4.5 g/cm3. Number 3: density 7.6 g/cm3.